(1)
First-principles (PBE-GGA) data for a relaxed Zr2MoCl crystal, as listed in Alexandria.

a = 6.7555 Å, b = 6.7555 Å, c = 6.7555 Å
α = 90.00°, β = 90.00°, γ = 90.00°
Closest atoms and distances in Å follow each position.
Space group F-43m (No. 216)
Symmetry-distinct sites (fractional):
Zr 0.0000 0.0000 0.0000 x4  4 Zr 2.93, 4 Mo 2.93
Zr 0.2500 0.2500 0.2500 x4  4 Zr 2.93, 4 Cl 2.93
Mo 0.2500 0.2500 0.7500 x4  4 Zr 2.93, 4 Cl 2.93
Cl 0.0000 0.0000 0.5000 x4  4 Zr 2.93, 4 Mo 2.93

Summary:
The formation energy (no corrections) is 613 meV/atom. The magnetization comes out at 0.0 μB/cell. The calculation puts the total energy at -27.3 eV/f.u. The energy above the most stable polymorph in this dataset is 1.1130 eV/atom.

---

(2)
First-principles (PBE-GGA) data for a relaxed MgTaHg2 crystal, as listed in Alexandria.

a = 2.9383 Å, b = 5.6178 Å, c = 10.2784 Å
α = 90.00°, β = 90.00°, γ = 90.00°
Closest atoms and distances in Å follow each position.
Space group Immm (No. 71)
Symmetry-distinct sites (fractional):
Mg 0.0000 0.0000 0.0000 x2  2 Mg 2.94, 4 Hg 2.97, 4 Ta 3.17
Ta 0.0000 0.0000 0.5000 x2  2 Ta 2.94, 4 Hg 2.95, 4 Mg 3.17
Hg 0.0000 0.5000 0.2494 x4  6 Hg 2.94-3.17, 2 Ta 2.95, 2 Mg 2.97

Summary:
The magnetization comes out at 0.0 μB/cell. The calculation puts the total energy at -12.4 eV/f.u. Its calculated formation energy is 1.7 eV/f.u.

---

- Which value of magnetization does entry 1 give?
  0.0 μB/cell